Record 1
Entry from Alexandria via LeMat-Bulk: a PBEsol-optimized structure of NaAlSe2Br (meta-GGA SCAN).

Cell: 4.8188 4.8188 5.4330 Å, 90.00 90.00 90.00°
Last column: nearest neighbours and their distance in Å.
Space group P4/mmm (No. 123)
Symmetry-distinct sites (fractional):
Na  0.0000  0.0000  0.0000 x1  4 Br 3.41, 8 Se 3.63
Al  0.5000  0.5000  0.5000 x1  4 Se 2.41
Se  0.0000  0.5000  0.5000 x2  2 Al 2.41
Br  0.5000  0.5000  0.0000 x1  2 Al 2.72

raw formation energy = -0.722 eV per atom
crystal system = tetragonal


Record 2
Entry from Alexandria via LeMat-Bulk: a PBEsol-optimized structure of NbAlBr2 (meta-GGA SCAN).

Cell: 6.6730 6.6730 6.6730 Å, 90.00 90.00 90.00°
Last column: nearest neighbours and their distance in Å.
Space group Fm-3m (No. 225)
Symmetry-distinct sites (fractional):
Nb  0.0000  0.0000  0.0000 x4  8 Br 2.89
Al  0.0000  0.0000  0.5000 x4  8 Br 2.89
Br  0.2500  0.2500  0.2500 x8  4 Nb 2.89, 4 Al 2.89

raw formation energy = 0.400 eV per atom
crystal system = cubic


- Number 1 is which compound?
  NaAlSe2Br


- Which of these has the highest raw formation energy?
  NbAlBr2


- What is the formula in the second record?
  NbAlBr2